(1)
The following is a PBE calculation of CsAs2H2 after structural relaxation, from the Alexandria database.

Cell: 4.804 4.804 5.539 Å, 90.00 90.00 116.67°
Sites, in units of the cell vectors:
Cs  0.000  0.000  0.000
As  0.701  0.299  0.500
As  0.299  0.701  0.500
H  0.500  0.500  0.666
H  0.500  0.500  0.334

raw total energy: -3.278 eV per atom


(2)
The following is a PBE calculation of Tm2ThIn2 after structural relaxation, from the Alexandria database.

Cell: 5.240 5.240 6.499 Å, 90.00 90.00 120.00°
Sites, in units of the cell vectors:
Tm  0.333  0.667  0.664
Tm  0.667  0.333  0.336
Th  0.000  0.000  0.000
In  0.333  0.667  0.191
In  0.667  0.333  0.809

energy of formation from the pure elements: -2.295 kcal/mol of atoms
raw total energy: -4.467 eV per atom


(3)
The following is a PBE calculation of Pr7Dy2Sc2 after structural relaxation, from the Alexandria database.

Cell: 6.708 10.159 6.708 Å, 90.00 122.02 90.00°
Sites, in units of the cell vectors:
Pr  0.000  0.317  0.500
Pr  0.500  0.683  0.000
Pr  0.000  0.683  0.500
Pr  0.500  0.317  0.000
Pr  0.000  0.000  0.000
Pr  0.500  0.791  0.500
Pr  0.500  0.209  0.500
Dy  0.714  0.000  0.286
Dy  0.286  0.000  0.714
Sc  0.747  0.500  0.747
Sc  0.253  0.500  0.253

energy of formation from the pure elements: 8.028 kcal/mol of atoms
raw total energy: -4.681 eV per atom


(4)
The following is a PBE calculation of TbCd6Hg after structural relaxation, from the Alexandria database.

Cell: 4.835 6.071 7.165 Å, 115.07 90.00 90.00°
Sites, in units of the cell vectors:
Tb  0.500  0.697  0.395
Cd  0.500  0.665  0.855
Cd  0.500  0.190  0.855
Cd  0.000  0.812  0.147
Cd  0.000  0.335  0.147
Cd  0.000  0.299  0.597
Cd  0.000  0.860  0.720
Hg  0.500  0.142  0.283

energy of formation from the pure elements: -2.544 kcal/mol of atoms
raw total energy: -1.413 eV per atom


(5)
The following is a PBE calculation of BaAcHgGe after structural relaxation, from the Alexandria database.

Cell: 5.723 5.723 5.723 Å, 60.00 60.00 60.00°
Sites, in units of the cell vectors:
Ac  0.000  0.000  0.000
Ge  0.250  0.250  0.250
Hg  0.750  0.750  0.750
Ba  0.500  0.500  0.500

energy of formation from the pure elements: -10.916 kcal/mol of atoms
raw total energy: -3.211 eV per atom


(6)
The following is a PBE calculation of ThInNiPt after structural relaxation, from the Alexandria database.

Cell: 4.867 4.867 4.867 Å, 60.00 60.00 60.00°
Sites, in units of the cell vectors:
Ni  0.250  0.250  0.250
Pt  0.750  0.750  0.750
Th  0.000  0.000  0.000
In  0.500  0.500  0.500

energy of formation from the pure elements: -14.128 kcal/mol of atoms
raw total energy: -6.108 eV per atom


(7)
The following is a PBE calculation of MgCd6F12 after structural relaxation, from the Alexandria database.

Cell: 6.678 6.678 6.678 Å, 99.19 99.19 99.19°
Sites, in units of the cell vectors:
Mg  0.000  0.000  0.000
Cd  0.704  0.865  0.391
Cd  0.609  0.296  0.135
Cd  0.135  0.609  0.296
Cd  0.296  0.135  0.609
Cd  0.391  0.704  0.865
Cd  0.865  0.391  0.704
F  0.823  0.566  0.413
F  0.413  0.823  0.566
F  0.566  0.413  0.823
F  0.177  0.434  0.587
F  0.587  0.177  0.434
F  0.434  0.587  0.177
F  0.069  0.960  0.300
F  0.040  0.700  0.931
F  0.700  0.931  0.040
F  0.931  0.040  0.700
F  0.960  0.300  0.069
F  0.300  0.069  0.960

uncorrected formation energy: -2.2248 eV/atom
raw total energy: -3.780 eV per atom


(8)
The following is a PBE calculation of LaTb2C3 after structural relaxation, from the Alexandria database.

Cell: 5.755 7.161 7.161 Å, 63.42 66.31 66.31°
Sites, in units of the cell vectors:
La  0.750  0.704  0.796
La  0.250  0.296  0.204
Tb  0.079  0.088  0.753
Tb  0.579  0.253  0.588
Tb  0.421  0.747  0.412
Tb  0.921  0.912  0.247
C  0.382  0.000  0.000
C  0.618  0.000  0.000
C  0.118  0.500  0.500
C  0.000  0.000  0.500
C  0.500  0.000  0.500
C  0.882  0.500  0.500

energy of formation from the pure elements: -1.268 kcal/mol of atoms
raw total energy: -7.032 eV per atom


(9)
The following is a PBE calculation of NaReS2Cl after structural relaxation, from the Alexandria database.

Cell: 4.556 5.354 4.556 Å, 90.00 90.00 90.00°
Sites, in units of the cell vectors:
Re  0.000  0.000  0.000
S  0.000  0.000  0.500
S  0.500  0.000  0.000
Na  0.500  0.500  0.500
Cl  0.000  0.500  0.000

uncorrected formation energy: -0.3679 eV/atom
raw total energy: -5.142 eV per atom


(10)
The following is a PBE calculation of La2HoCu4 after structural relaxation, from the Alexandria database.

Cell: 4.454 6.992 5.688 Å, 106.64 113.05 90.00°
Sites, in units of the cell vectors:
Ho  0.000  0.000  0.000
Cu  0.357  0.743  0.714
Cu  0.907  0.583  0.814
Cu  0.643  0.257  0.286
Cu  0.093  0.417  0.186
La  0.652  0.721  0.304
La  0.348  0.279  0.696

energy of formation from the pure elements: -3.701 kcal/mol of atoms
raw total energy: -4.563 eV per atom


(11)
The following is a PBE calculation of Tb4Pr5In after structural relaxation, from the Alexandria database.

Cell: 4.239 4.239 18.400 Å, 90.00 90.00 90.00°
Sites, in units of the cell vectors:
Tb  0.000  0.000  0.193
Tb  0.000  0.000  0.398
Tb  0.000  0.000  0.602
Tb  0.000  0.000  0.807
Pr  0.500  0.500  0.090
Pr  0.500  0.500  0.295
Pr  0.500  0.500  0.500
Pr  0.500  0.500  0.705
Pr  0.500  0.500  0.910
In  0.000  0.000  0.000

energy of formation from the pure elements: -0.221 kcal/mol of atoms
raw total energy: -4.525 eV per atom


(12)
The following is a PBE calculation of Nd2CoGe5 after structural relaxation, from the Alexandria database.

Cell: 6.262 6.262 6.262 Å, 86.89 121.81 121.81°
Sites, in units of the cell vectors:
Nd  0.500  0.230  0.730
Nd  0.500  0.730  0.230
Co  0.000  0.023  0.023
Ge  0.447  0.714  0.714
Ge  0.000  0.714  0.266
Ge  0.000  0.266  0.714
Ge  0.553  0.266  0.266
Ge  0.000  0.278  0.278

energy of formation from the pure elements: -9.427 kcal/mol of atoms
raw total energy: -5.375 eV per atom